Entry 1:
The following is a PBE calculation of a relaxed TaOsRu crystal, from the Alexandria database.

Cell and atoms, written as POSCAR:
```
TaOsRu
1.0
0.0000 3.0093 3.0093
3.0093 0.0000 3.0093
3.0093 3.0093 0.0000
Ta Os Ru
1 1 1
Direct
0.0000 0.0000 0.0000 Ta
0.2500 0.2500 0.2500 Os
0.7500 0.7500 0.7500 Ru
```

Size of the total moment in Bohr magnetons per cell: 0.000
E_form in eV/f.u.: 1.4
Distance to the lowest polymorph of the same formula in meV/atom: 589

Entry 2:
The following is a PBE calculation of a relaxed Ta2Os3Ru3 crystal, from the Alexandria database.

Cell and atoms, written as POSCAR:
```
Ta2Os3Ru3
1.0
3.9163 0.0000 0.0000
0.0000 3.9242 0.0000
0.0000 0.0000 7.8186
Ta Os Ru
2 3 3
Direct
0.0000 0.0000 0.2492 Ta
0.0000 0.0000 0.7508 Ta
0.0000 0.5000 0.5000 Os
0.5000 0.5000 0.2506 Os
0.5000 0.5000 0.7494 Os
0.0000 0.5000 0.0000 Ru
0.5000 0.0000 0.0000 Ru
0.5000 0.0000 0.5000 Ru
```

Size of the total moment in Bohr magnetons per cell: 0.000
E_form in eV/f.u.: -1.3

Entry 3:
The following is a PBE calculation of a relaxed TaOsRu crystal, from the Alexandria database.

Cell and atoms, written as POSCAR:
```
TaOsRu
1.0
-1.4095 1.9304 4.2678
1.4095 -1.9304 4.2678
1.4095 1.9304 -4.2678
Ta Os Ru
1 1 1
Direct
0.0000 0.0000 0.0000 Ta
0.3279 0.3279 0.0000 Os
0.6744 0.6744 0.0000 Ru
```

Size of the total moment in Bohr magnetons per cell: 0.000
E_form in eV/f.u.: -0.1
Distance to the lowest polymorph of the same formula in meV/atom: 92